1) A plane-wave DFT calculation with PBE was carried out for PmSmZnCd after structural relaxation.

```
PmSmZnCd
1.0
-4.700 0.358 -2.410
-2.120 -4.264 -2.313
-4.251 -2.328 2.129
Zn Sm Cd Pm
1 1 1 1
Direct
0.250 0.250 0.250
0.500 0.500 0.500
0.750 0.750 0.750
0.000 0.000 0.000
```

* space-group type: No. 216
* magnetization: 0.284 μB per formula unit

---

2) A plane-wave DFT calculation with PBE was carried out for PmSmZnCd after structural relaxation.

```
PmSmZnCd
1.0
3.697 0.000 0.000
0.000 3.697 0.000
0.000 0.000 7.613
Zn Cd Pm Sm
1 1 1 1
Direct
0.000 0.000 0.360
0.000 0.000 0.854
0.500 0.500 0.127
0.500 0.500 0.587
```

* space-group type: No. 99
* magnetization: 0.000 μB per formula unit

---

Here are the energies relative to the best structure, in kJ/mol of atoms: 1) 2.4; 2) 0.0.

---

1) A plane-wave DFT calculation with PBE was carried out for PmCd2Sn2 after structural relaxation.

```
PmCd2Sn2
1.0
4.408 0.000 -0.784
0.000 4.514 0.000
-0.033 0.000 12.603
Cd Sn Pm
4 4 2
Direct
0.458 0.750 0.916
0.542 0.250 0.084
0.955 0.250 0.911
0.045 0.750 0.089
0.749 0.250 0.499
0.251 0.750 0.501
0.131 0.250 0.262
0.869 0.750 0.738
0.351 0.250 0.702
0.649 0.750 0.298
```

* space-group type: No. 63
* magnetization: 0.000 μB per formula unit

---

2) A plane-wave DFT calculation with PBE was carried out for PmCd2Sn2 after structural relaxation.

```
PmCd2Sn2
1.0
-1.348 -4.123 0.811
2.235 -1.425 -3.528
5.114 1.731 5.301
Cd Sn Pm
2 2 1
Direct
0.250 0.750 0.500
0.750 0.250 0.500
0.395 0.395 0.790
0.605 0.605 0.210
0.000 0.000 0.000
```

* space-group type: No. 139
* magnetization: 0.000 μB per formula unit

---

Here are the energies relative to the best structure, in kJ/mol of atoms: 1) 0.0; 2) 14.2.

---

1) A plane-wave DFT calculation with PBE was carried out for PmCdSn after structural relaxation.

```
PmCdSn
1.0
3.633 0.000 0.000
0.000 3.633 0.000
-1.816 -1.816 6.129
Sn Cd Pm
1 1 1
Direct
0.677 0.677 0.354
0.325 0.325 0.651
0.998 0.998 0.995
```

* space-group type: No. 107
* magnetization: 0.000 μB per formula unit

---

2) A plane-wave DFT calculation with PBE was carried out for PmCdSn after structural relaxation.

```
PmCdSn
1.0
8.469 -0.378 0.000
-3.564 7.692 0.000
-2.452 -3.657 5.414
Cd Pm Sn
4 4 4
Direct
0.130 0.130 0.260
0.870 0.870 0.740
0.380 0.880 0.760
0.120 0.620 0.240
0.625 0.375 0.750
0.625 0.875 0.250
0.125 0.375 0.750
0.625 0.375 0.250
0.176 0.824 0.000
0.824 0.176 0.000
0.074 0.926 0.500
0.426 0.574 0.500
```

* space-group type: No. 70
* magnetization: 0.000 μB per formula unit

---

3) A plane-wave DFT calculation with PBE was carried out for PmCdSn after structural relaxation.

```
PmCdSn
1.0
4.906 0.000 0.000
2.453 5.686 -0.400
2.453 -0.299 5.693
Cd Sn Pm
2 2 2
Direct
0.297 0.016 0.390
0.703 0.610 0.984
0.756 0.225 0.263
0.244 0.737 0.775
0.000 0.627 0.373
0.500 0.163 0.837
```

* space-group type: No. 44
* magnetization: 0.000 μB per formula unit

---

Here are the energies relative to the best structure, in kJ/mol of atoms: 1) 16.4; 2) 26.7; 3) 0.0.